# 1
Density functional theory data (GGA-PBE) for a relaxed Pm3ErTm4 crystal.

Cell lengths 11.2990, 7.2613, 6.2566 Å; angles 90.00, 90.00, 90.00 degrees
Space group Pmn2_1 (No. 31)
Inequivalent atoms, fractional coordinates:
Pm1 0.0000 0.1276 0.0000 x2
Pm2 0.2501 0.1270 0.3350 x4
Er1 0.0000 0.8698 0.4988 x2
Tm1 0.0000 0.3780 0.5009 x2
Tm2 0.0000 0.6209 0.0010 x2
Tm3 0.2482 0.6213 0.3340 x4

Its formation energy is 0.016 eV per atom. Its offset from the most stable computed form is 0.000 eV per atom. The calculation puts the magnetic moment at 0.000 μB per atom.

# 2
Density functional theory data (GGA-PBE) for a relaxed PmEr10Tm4 crystal.

Cell lengths 12.0191, 12.0191, 7.5987 Å; angles 90.00, 90.00, 90.00 degrees
Space group I4/m (No. 87)
Inequivalent atoms, fractional coordinates:
Pm1 0.0000 0.0000 0.0000 x2
Er1 0.0000 0.5000 0.2500 x4
Er2 0.1013 0.7989 0.2527 x16
Tm1 0.0994 0.3014 0.5000 x8

Its formation energy is 0.729 eV per atom. The calculation puts the magnetic moment at 0.000 μB per atom.

# 3
Density functional theory data (GGA-PBE) for a relaxed Pm3Er5Tm2 crystal.

Cell lengths 12.8266, 16.8187, 6.2573 Å; angles 90.00, 90.00, 90.00 degrees
Space group Ibam (No. 72)
Inequivalent atoms, fractional coordinates:
Pm1 0.0000 0.0000 0.2500 x4
Pm2 0.1583 0.2465 0.0000 x8
Er1 0.0000 0.5000 0.2500 x4
Er2 0.0979 0.3442 0.5000 x8
Er3 0.2475 0.5000 0.2500 x8
Tm1 0.1022 0.1557 0.5000 x8

Its formation energy is 0.345 eV per atom. Its offset from the most stable computed form is 0.148 eV per atom. The calculation puts the magnetic moment at 0.000 μB per atom.

# 4
Density functional theory data (GGA-PBE) for a relaxed Pm2Er8Tm crystal.

Cell lengths 8.9829, 15.9294, 5.8388 Å; angles 90.00, 123.05, 90.00 degrees
Space group C2/m (No. 12)
Inequivalent atoms, fractional coordinates:
Pm1 0.0000 0.1931 0.0000 x4
Er1 0.0000 0.2930 0.5000 x4
Er2 0.0713 0.0000 0.2966 x4
Er3 0.2137 0.3841 0.1735 x8
Tm1 0.0000 0.5000 0.5000 x2

Its formation energy is 0.162 eV per atom. Its offset from the most stable computed form is 0.139 eV per atom. The calculation puts the magnetic moment at 0.000 μB per atom.

# 5
Density functional theory data (GGA-PBE) for a relaxed PmEr6Tm4 crystal.

Cell lengths 7.5045, 7.5045, 13.1014 Å; angles 90.00, 90.00, 90.00 degrees
Space group I-42m (No. 121)
Inequivalent atoms, fractional coordinates:
Pm1 0.0000 0.0000 0.0000 x2
Er1 0.0000 0.5000 0.0000 x4
Er2 0.2418 0.2418 0.1859 x8
Tm1 0.1608 0.1608 0.4209 x8

Its formation energy is 0.452 eV per atom. Its offset from the most stable computed form is 0.328 eV per atom. The calculation puts the magnetic moment at 0.000 μB per atom.

# 6
Density functional theory data (GGA-PBE) for a relaxed Pm5Er4Tm4 crystal.

Cell lengths 12.8303, 12.8303, 5.0195 Å; angles 90.00, 90.00, 90.00 degrees
Space group I4/m (No. 87)
Inequivalent atoms, fractional coordinates:
Pm1 0.0000 0.0000 0.0000 x2
Pm2 0.0390 0.1943 0.5000 x8
Er1 0.0760 0.3858 0.0000 x8
Tm1 0.1548 0.7671 0.0000 x8

Its formation energy is 0.022 eV per atom. The calculation puts the magnetic moment at 0.000 μB per atom.

# 7
Density functional theory data (GGA-PBE) for a relaxed Pm4Er6Tm crystal.

Cell lengths 10.9459, 10.9459, 3.5408 Å; angles 90.00, 90.00, 120.00 degrees
Space group P-6m2 (No. 187)
Inequivalent atoms, fractional coordinates:
Pm1 0.0000 0.0000 0.0000 x1
Pm2 0.5018 0.0037 0.5000 x3
Er1 0.1757 0.3514 0.0000 x3
Er2 0.3078 0.1539 0.5000 x3
Tm1 0.6667 0.3333 0.0000 x1

Its formation energy is 0.168 eV per atom. Its offset from the most stable computed form is 0.000 eV per atom. The calculation puts the magnetic moment at 0.000 μB per atom.

# 8
Density functional theory data (GGA-PBE) for a relaxed PmEr4Tm6 crystal.

Cell lengths 7.6152, 7.6152, 12.8151 Å; angles 90.00, 90.00, 90.00 degrees
Space group I-42m (No. 121)
Inequivalent atoms, fractional coordinates:
Pm1 0.0000 0.0000 0.0000 x2
Er1 0.1649 0.1649 0.4241 x8
Tm1 0.0000 0.5000 0.0000 x4
Tm2 0.2503 0.2503 0.1848 x8

Its formation energy is 0.467 eV per atom. Its offset from the most stable computed form is 0.344 eV per atom. The calculation puts the magnetic moment at 0.000 μB per atom.

# 9
Density functional theory data (GGA-PBE) for a relaxed Pm2Er3Tm8 crystal.

Cell lengths 7.5095, 20.5987, 5.4713 Å; angles 90.00, 90.00, 90.00 degrees
Space group Cmmm (No. 65)
Inequivalent atoms, fractional coordinates:
Pm1 0.0000 0.2407 0.0000 x4
Er1 0.0000 0.0000 0.0000 x2
Er2 0.2152 0.5000 0.5000 x4
Tm1 0.0000 0.1286 0.5000 x4
Tm2 0.0000 0.3392 0.5000 x4
Tm3 0.2147 0.3924 0.0000 x8

Its formation energy is 0.249 eV per atom. The calculation puts the magnetic moment at 0.000 μB per atom.

# 10
Density functional theory data (GGA-PBE) for a relaxed Pm8Er6Tm crystal.

Cell lengths 9.7678, 9.7678, 17.8699 Å; angles 90.00, 90.00, 120.00 degrees
Space group R-3 (No. 148, hexagonal axes)
Inequivalent atoms, fractional coordinates:
Pm1 0.0000 0.0000 0.0869 x6
Pm2 0.0549 0.2390 0.6714 x18
Er1 0.0373 0.2878 0.1776 x18
Tm1 0.0000 0.0000 0.5000 x3

Its formation energy is 0.179 eV per atom. Its offset from the most stable computed form is 0.004 eV per atom. The calculation puts the magnetic moment at 0.000 μB per atom.

# 11
Density functional theory data (GGA-PBE) for a relaxed Pm6ErTm8 crystal.

Cell lengths 9.0110, 9.0110, 20.7236 Å; angles 90.00, 90.00, 120.00 degrees
Space group R-3 (No. 148, hexagonal axes)
Inequivalent atoms, fractional coordinates:
Pm1 0.0650 0.8156 0.2107 x18
Er1 0.0000 0.0000 0.5000 x3
Tm1 0.0000 0.0000 0.0767 x6
Tm2 0.0810 0.5254 0.3077 x18

Its formation energy is 0.124 eV per atom. The calculation puts the magnetic moment at 0.000 μB per atom.

# 12
Density functional theory data (GGA-PBE) for a relaxed Pm12ErTm3 crystal.

Cell lengths 5.1067, 5.1067, 20.3736 Å; angles 90.00, 90.00, 90.00 degrees
Space group P4/mmm (No. 123)
Inequivalent atoms, fractional coordinates:
Pm1 0.0000 0.0000 0.0000 x1
Pm2 0.0000 0.0000 0.2501 x2
Pm3 0.0000 0.0000 0.5000 x1
Pm4 0.0000 0.5000 0.1252 x4
Pm5 0.0000 0.5000 0.3750 x4
Er1 0.5000 0.5000 0.0000 x1
Tm1 0.5000 0.5000 0.2501 x2
Tm2 0.5000 0.5000 0.5000 x1

Its formation energy is 0.015 eV per atom. The calculation puts the magnetic moment at 0.000 μB per atom.

# 13
Density functional theory data (GGA-PBE) for a relaxed Pm4ErTm4 crystal.

Cell lengths 16.8393, 5.5659, 6.7632 Å; angles 90.00, 113.54, 90.00 degrees
Space group C2/m (No. 12)
Inequivalent atoms, fractional coordinates:
Pm1 0.1333 0.0000 0.4589 x4
Pm2 0.2204 0.5000 0.7863 x4
Er1 0.0000 0.5000 0.5000 x2
Tm1 0.0707 0.0000 0.8733 x4
Tm2 0.1214 0.5000 0.1697 x4

Its formation energy is 0.108 eV per atom. Its offset from the most stable computed form is 0.083 eV per atom. The calculation puts the magnetic moment at 0.000 μB per atom.

# 14
Density functional theory data (GGA-PBE) for a relaxed Pm4Er4Tm crystal.

Cell lengths 10.7149, 10.7149, 5.0409 Å; angles 90.00, 90.00, 90.00 degrees
Space group I4/mmm (No. 139)
Inequivalent atoms, fractional coordinates:
Pm1 0.0000 0.3307 0.0000 x8
Er1 0.1657 0.1657 0.5000 x8
Tm1 0.0000 0.0000 0.0000 x2

Its formation energy is 0.023 eV per atom. Its offset from the most stable computed form is 0.000 eV per atom. The calculation puts the magnetic moment at 0.000 μB per atom.

# 15
Density functional theory data (GGA-PBE) for a relaxed Pm7Er16Tm6 crystal.

Cell lengths 15.4899, 15.4899, 15.4899 Å; angles 90.00, 90.00, 90.00 degrees
Space group Fm-3m (No. 225)
Inequivalent atoms, fractional coordinates:
Pm1 0.0000 0.0000 0.0000 x4
Pm2 0.0000 0.2500 0.2500 x24
Er1 0.1132 0.1132 0.3868 x32
Er2 0.1495 0.1495 0.1495 x32
Tm1 0.0000 0.0000 0.2250 x24

Its formation energy is 0.190 eV per atom. The calculation puts the magnetic moment at 0.000 μB per atom.

# 16
Density functional theory data (GGA-PBE) for a relaxed PmEr2Tm9 crystal.

Cell lengths 5.8071, 5.8071, 10.9603 Å; angles 90.00, 90.00, 90.00 degrees
Space group P4/mmm (No. 123)
Inequivalent atoms, fractional coordinates:
Pm1 0.0000 0.0000 0.0000 x1
Er1 0.0000 0.0000 0.3344 x2
Tm1 0.0000 0.5000 0.1701 x4
Tm2 0.0000 0.5000 0.5000 x2
Tm3 0.5000 0.5000 0.0000 x1
Tm4 0.5000 0.5000 0.3332 x2

Its formation energy is 0.130 eV per atom. Its offset from the most stable computed form is 0.086 eV per atom. The calculation puts the magnetic moment at 0.001 μB per atom.

# 17
Density functional theory data (GGA-PBE) for a relaxed Pm5Er2Tm crystal.

Cell lengths 9.1464, 9.1464, 12.6581 Å; angles 90.00, 90.00, 90.00 degrees
Space group I4/mcm (No. 140)
Inequivalent atoms, fractional coordinates:
Pm1 0.0000 0.0000 0.0000 x4
Pm2 0.1507 0.3493 0.1639 x16
Er1 0.1449 0.3551 0.5000 x8
Tm1 0.0000 0.0000 0.2500 x4

Its formation energy is 0.111 eV per atom. The calculation puts the magnetic moment at 0.035 μB per atom.

# 18
Density functional theory data (GGA-PBE) for a relaxed PmEr6Tm2 crystal.

Cell lengths 10.5475, 10.5475, 4.9787 Å; angles 90.00, 90.00, 90.00 degrees
Space group P4_2/mnm (No. 136)
Inequivalent atoms, fractional coordinates:
Pm1 0.0000 0.0000 0.0000 x2
Er1 0.0001 0.3340 0.0000 x8
Er2 0.1675 0.1675 0.5000 x4
Tm1 0.1677 0.8323 0.5000 x4

Its formation energy is 0.024 eV per atom. Its offset from the most stable computed form is 0.000 eV per atom. The calculation puts the magnetic moment at 0.000 μB per atom.

# 19
Density functional theory data (GGA-PBE) for a relaxed Pm5ErTm6 crystal.

Cell lengths 5.0506, 9.9671, 15.1567 Å; angles 90.00, 90.00, 90.00 degrees
Space group Immm (No. 71)
Inequivalent atoms, fractional coordinates:
Pm1 0.0000 0.0000 0.0000 x2
Pm2 0.0000 0.0000 0.3348 x4
Pm3 0.0000 0.5000 0.3333 x4
Er1 0.0000 0.5000 0.0000 x2
Tm1 0.0000 0.2487 0.5000 x4
Tm2 0.0000 0.2507 0.1663 x8

Its formation energy is 0.021 eV per atom. The calculation puts the magnetic moment at 0.000 μB per atom.